! ZrTl4Cu | Alexandria via LeMat-Bulk | PBE-GGA | relaxed; values from VASP
&SYSTEM
  ibrav = 0, nat = 6, ntyp = 3
/
ATOMIC_SPECIES
Zr 91.22 Zr.upf
Tl 204.38 Tl.upf
Cu 63.55 Cu.upf
ATOMIC_POSITIONS crystal
Zr 0.0000 0.0000 0.0000
Tl 0.3751 0.3751 0.3751
Tl 0.3751 0.3751 0.8748
Tl 0.3751 0.8748 0.3751
Tl 0.8748 0.3751 0.3751
Cu 0.7500 0.7500 0.7500
CELL_PARAMETERS angstrom
0.0000 4.3292 4.3292
4.3292 0.0000 4.3292
4.3292 4.3292 0.0000
! - DOS at the Fermi energy: 1.18 states/eV/atom
! - Energy relative to the elements: 0.689 eV/atom

---

! Pm4ScGa2 | Alexandria via LeMat-Bulk | PBE-GGA | relaxed; values from VASP
&SYSTEM
  ibrav = 0, nat = 7, ntyp = 3
/
ATOMIC_SPECIES
Pm 145.00 Pm.upf
Sc 44.96 Sc.upf
Ga 69.72 Ga.upf
ATOMIC_POSITIONS crystal
Pm 0.1243 0.1243 0.1243
Pm 0.2801 0.2801 0.2801
Pm 0.7199 0.7199 0.7199
Pm 0.8757 0.8757 0.8757
Sc 0.5000 0.5000 0.5000
Ga 0.3968 0.3968 0.3968
Ga 0.6032 0.6032 0.6032
CELL_PARAMETERS angstrom
2.6546 1.5326 8.6807
-2.6546 1.5326 8.6807
0.0000 -3.0652 8.6807
! - DOS at the Fermi energy: 1.58 states/eV/atom
! - Energy relative to the elements: -0.106 eV/atom

---

! As2SeBrN | Alexandria via LeMat-Bulk | PBE-GGA | relaxed; values from VASP
&SYSTEM
  ibrav = 0, nat = 5, ntyp = 4
/
ATOMIC_SPECIES
As 74.92 As.upf
Se 78.96 Se.upf
Br 79.90 Br.upf
N 14.01 N.upf
ATOMIC_POSITIONS crystal
As 0.0000 0.5000 0.0000
As 0.5000 0.0000 0.0000
Se 0.0000 0.0000 0.5000
Br 0.0000 0.0000 0.0000
N 0.5000 0.5000 0.5000
CELL_PARAMETERS angstrom
5.1573 0.0000 0.0000
0.0000 5.1573 0.0000
0.0000 0.0000 4.9099
! - Formation energy from raw total energies: 2.38 eV/atom
! - ΔE to the lowest computed polymorph: 1396 meV/atom
! - DOS at the Fermi energy: 1.64 states/eV/atom

---

! BeZnCd | Alexandria via LeMat-Bulk | PBE-GGA | relaxed; values from VASP
&SYSTEM
  ibrav = 0, nat = 3, ntyp = 3
/
ATOMIC_SPECIES
Be 9.01 Be.upf
Zn 65.41 Zn.upf
Cd 112.41 Cd.upf
ATOMIC_POSITIONS crystal
Be 0.0000 0.0000 0.0000
Zn 0.3820 0.3820 0.0000
Cd 0.6733 0.6733 0.0000
CELL_PARAMETERS angstrom
-1.3644 1.5856 5.3275
1.3644 -1.5856 5.3275
1.3644 1.5856 -5.3275
! - ΔE to the lowest computed polymorph: 85 meV/atom
! - DOS at the Fermi energy: 0.26 states/eV/atom
! - Energy relative to the elements: 0.295 eV/atom

---

! Cu2Ni2Mo | Alexandria via LeMat-Bulk | PBE-GGA | relaxed; values from VASP
&SYSTEM
  ibrav = 0, nat = 5, ntyp = 3
/
ATOMIC_SPECIES
Cu 63.55 Cu.upf
Ni 58.69 Ni.upf
Mo 95.94 Mo.upf
ATOMIC_POSITIONS crystal
Cu 0.2500 0.7500 0.5000
Cu 0.7500 0.2500 0.5000
Ni 0.0973 0.0973 0.0000
Ni 0.9027 0.9027 0.0000
Mo 0.5000 0.5000 0.0000
CELL_PARAMETERS angstrom
-1.6551 1.6551 5.9463
1.6551 -1.6551 5.9463
1.6551 1.6551 -5.9463
! - ΔE to the lowest computed polymorph: 180 meV/atom
! - DOS at the Fermi energy: 1.34 states/eV/atom
! - Energy relative to the elements: 0.382 eV/atom

---

! BeCu2F | Alexandria via LeMat-Bulk | PBE-GGA | relaxed; values from VASP
&SYSTEM
  ibrav = 0, nat = 8, ntyp = 3
/
ATOMIC_SPECIES
Be 9.01 Be.upf
Cu 63.55 Cu.upf
F 19.00 F.upf
ATOMIC_POSITIONS crystal
Be 0.0000 0.0000 0.0000
Be 0.7500 0.2500 0.5000
Cu 0.1345 0.6250 0.0095
Cu 0.3750 0.3845 0.5095
Cu 0.6155 0.1250 0.9905
Cu 0.8750 0.8655 0.4905
F 0.2500 0.7500 0.5000
F 0.5000 0.5000 0.0000
CELL_PARAMETERS angstrom
-2.9813 2.9813 2.4655
2.9813 -2.9813 2.4655
2.9813 2.9813 -2.4655
! - Formation energy from raw total energies: -0.17 eV/atom
! - ΔE to the lowest computed polymorph: 0 meV/atom
! - DOS at the Fermi energy: 0.13 states/eV/atom

---

! TmTl2Zn | Alexandria via LeMat-Bulk | PBE-GGA | relaxed; values from VASP
&SYSTEM
  ibrav = 0, nat = 4, ntyp = 3
/
ATOMIC_SPECIES
Tm 168.93 Tm.upf
Tl 204.38 Tl.upf
Zn 65.41 Zn.upf
ATOMIC_POSITIONS crystal
Tm 0.0000 0.0000 0.0000
Tl 0.0957 0.0957 0.0957
Tl 0.9043 0.9043 0.9043
Zn 0.5000 0.5000 0.5000
CELL_PARAMETERS angstrom
1.7223 0.9944 10.8269
-1.7223 0.9944 10.8269
0.0000 -1.9888 10.8269
! - DOS at the Fermi energy: 0.75 states/eV/atom
! - Energy relative to the elements: 0.188 eV/atom

---

Among the records above, which one has the lowest DOS at the Fermi energy? BeCu2F

---

Look up the DOS at the Fermi energy of the first one. 1.18 states/eV/atom

---

Please write out number 5 again, unchanged.
! Cu2Ni2Mo | Alexandria via LeMat-Bulk | PBE-GGA | relaxed; values from VASP
&SYSTEM
  ibrav = 0, nat = 5, ntyp = 3
/
ATOMIC_SPECIES
Cu 63.55 Cu.upf
Ni 58.69 Ni.upf
Mo 95.94 Mo.upf
ATOMIC_POSITIONS crystal
Cu 0.2500 0.7500 0.5000
Cu 0.7500 0.2500 0.5000
Ni 0.0973 0.0973 0.0000
Ni 0.9027 0.9027 0.0000
Mo 0.5000 0.5000 0.0000
CELL_PARAMETERS angstrom
-1.6551 1.6551 5.9463
1.6551 -1.6551 5.9463
1.6551 1.6551 -5.9463
! - ΔE to the lowest computed polymorph: 180 meV/atom
! - DOS at the Fermi energy: 1.34 states/eV/atom
! - Energy relative to the elements: 0.382 eV/atom

---

The highest DOS at the Fermi energy belongs to which entry? As2SeBrN